# 1
First-principles (PBE-GGA) data for a relaxed structure of NaTeWI2, as listed in Alexandria.

Cell: 5.901 5.901 5.238 Å, 90.00 90.00 90.00°
Space group P4/mmm (No. 123)
Asymmetric unit:
1 Na 0.000 0.000 0.000 [1 per cell]
2 Te 0.500 0.500 0.000 [1 per cell]
3 W 0.500 0.500 0.500 [1 per cell]
4 I 0.000 0.500 0.500 [2 per cell]

- Formation energy without anion corrections: 0.16 eV/atom
- ΔE to the lowest computed polymorph: 0.000 eV per atom
- M_tot: 2.6 μB per formula unit
- D(E_F): 0.4137 states/eV/atom

***

# 2
First-principles (PBE-GGA) data for a relaxed structure of Na2TlCuBr6, as listed in Alexandria.

Cell: 10.842 10.842 10.842 Å, 90.00 90.00 90.00°
Space group Fm-3m (No. 225)
Asymmetric unit:
1 Na 0.250 0.250 0.250 [8 per cell]
2 Tl 0.000 0.000 0.000 [4 per cell]
3 Cu 0.000 0.000 0.500 [4 per cell]
4 Br 0.000 0.000 0.263 [24 per cell]

- Formation energy without anion corrections: -0.74 eV/atom
- ΔE to the lowest computed polymorph: 0.104 eV per atom
- M_tot: 0.0 μB per formula unit
- D(E_F): 0.3349 states/eV/atom

***

# 3
First-principles (PBE-GGA) data for a relaxed structure of SrTiCuC2, as listed in Alexandria.

Cell: 4.477 4.477 4.827 Å, 90.00 90.00 90.00°
Space group P4/mmm (No. 123)
Asymmetric unit:
1 Sr 0.000 0.000 0.000 [1 per cell]
2 Ti 0.500 0.500 0.500 [1 per cell]
3 Cu 0.000 0.000 0.500 [1 per cell]
4 C 0.000 0.500 0.000 [2 per cell]

- Energy of formation: 2727 meV per atom
- M_tot: 0.0 μB per formula unit
- D(E_F): 1.1299 states/eV/atom